Compound: Rb2PtBr4
Source: the Alexandria database
Functional: PBE
Structure: optimized geometry

Values from the calculation:
- DOS at the Fermi energy (states/eV/cell) = 0.00
- space-group type = I4/mmm
- uncorrected formation energy (eV/atom) = -1.138
- magnetic moment (μB per formula unit) = 0.001

Cell lengths 7.6905, 7.6905, 9.3869 Å; angles 90.00, 90.00, 90.00 degrees
Last column: nearest neighbours and their distance in Å.
Atoms (fractional coordinates):
Rb: 0.0000 0.5000 0.2500  8 Br 3.60
Rb: 0.0000 0.5000 0.7500  8 Br 3.60
Rb: 0.5000 0.0000 0.2500  8 Br 3.60
Rb: 0.5000 0.0000 0.7500  8 Br 3.60
Pt: 0.0000 0.0000 0.0000  4 Br 2.47
Pt: 0.5000 0.5000 0.5000  4 Br 2.47
Br: 0.2270 0.2270 0.0000  1 Pt 2.47
Br: 0.2270 0.7730 0.0000  1 Pt 2.47
Br: 0.2730 0.2730 0.5000  1 Pt 2.47
Br: 0.2730 0.7270 0.5000  1 Pt 2.47
Br: 0.7270 0.2730 0.5000  1 Pt 2.47
Br: 0.7270 0.7270 0.5000  1 Pt 2.47
Br: 0.7730 0.2270 0.0000  1 Pt 2.47
Br: 0.7730 0.7730 0.0000  1 Pt 2.47